No. 1
Density functional theory data (PBE-GGA) for a geometry-optimized Cs3SiC structure.

Cell: 6.8987 6.8987 6.8987 Å, 90.00 90.00 90.00°
Closest atoms and distances in Å follow each position.
Space group Pm-3m (No. 221)
One atom of each set of equivalent atoms:
Cs (0.0000, 0.0000, 0.5000) x3  2 Si 3.45
Si (0.0000, 0.0000, 0.0000) x1  6 Cs 3.45
C (0.5000, 0.5000, 0.5000) x1  12 Cs 4.88

Calculated values
raw formation energy = 1.423 eV/atom
Fermi-level density of states = 0.902 states/eV per atom

=====

No. 2
Density functional theory data (PBE-GGA) for a geometry-optimized CsSi3C structure.

Cell: 5.7752 5.7752 5.7752 Å, 90.00 90.00 90.00°
Closest atoms and distances in Å follow each position.
Space group Pm-3m (No. 221)
One atom of each set of equivalent atoms:
Cs (0.0000, 0.0000, 0.0000) x1  6 Si 2.89
Si (0.0000, 0.0000, 0.5000) x3  2 Cs 2.89
C (0.5000, 0.5000, 0.5000) x1  12 Si 4.08

Calculated values
raw formation energy = 3.562 eV/atom
Fermi-level density of states = 0.792 states/eV per atom
offset from the most stable computed form = 2.067 eV/atom

=====

No. 3
Density functional theory data (PBE-GGA) for a geometry-optimized CsSi3C structure.

Cell: 4.6436 4.6436 4.6436 Å, 90.00 90.00 90.00°
Closest atoms and distances in Å follow each position.
Space group Pm-3m (No. 221)
One atom of each set of equivalent atoms:
Cs (0.0000, 0.0000, 0.0000) x1  12 Si 3.28
Si (0.0000, 0.5000, 0.5000) x3  2 C 2.32
C (0.5000, 0.5000, 0.5000) x1  6 Si 2.32

Calculated values
raw formation energy = 1.494 eV/atom
Fermi-level density of states = 0.644 states/eV per atom
offset from the most stable computed form = 0.000 eV/atom

=====

No. 4
Density functional theory data (PBE-GGA) for a geometry-optimized CsSiC3 structure.

Cell: 4.5820 4.5820 4.5820 Å, 90.00 90.00 90.00°
Closest atoms and distances in Å follow each position.
Space group Pm-3m (No. 221)
One atom of each set of equivalent atoms:
Cs (0.0000, 0.0000, 0.0000) x1  6 C 2.29
Si (0.5000, 0.5000, 0.5000) x1  12 C 3.24
C (0.0000, 0.0000, 0.5000) x3  2 Cs 2.29

Calculated values
raw formation energy = 4.346 eV/atom
Fermi-level density of states = 0.727 states/eV per atom
offset from the most stable computed form = 2.031 eV/atom